VASP calculation (GGA-PBE) on a geometry-optimized Dy3InAu2 structure.

Calculated values
Space group = P4/mmm, No. 123
Raw total energy = -27.5 eV for the cell shown
N(E_F) = 3.17 states/eV/cell
Spin magnetization = 0.0 μB/cell

a b c (Å): 3.589 3.589 11.380
angles (deg): 90.00 90.00 90.00
Element x y z (fractional)
Dy1 0.000 0.000 0.000
Dy2 0.000 0.000 0.317
Dy3 0.000 0.000 0.683
Au1 0.500 0.500 0.163
Au2 0.500 0.500 0.837
In1 0.500 0.500 0.500